A plane-wave DFT calculation with PBE-GGA was carried out for an optimized crystal structure of KPF2.

Output
Raw total energy, eV/cell: -50.1
Density of states at the Fermi level, states/eV/f.u.: 0.81
Magnetic moment, μB per formula unit: 0.000
Relative energy among the computed polymorphs, meV per atom: 0
Mass density, g/cm3: 2.504

a b c (Å): 3.413 3.413 21.317
angles (deg): 90.00 90.00 120.00
Atoms (fractional coordinates):
1 K 0.000 0.000 0.000
2 K 0.333 0.667 0.667
3 K 0.667 0.333 0.333
4 P 0.000 0.000 0.500
5 P 0.333 0.667 0.167
6 P 0.667 0.333 0.833
7 F 0.000 0.000 0.410
8 F 0.000 0.000 0.590
9 F 0.333 0.667 0.076
10 F 0.333 0.667 0.257
11 F 0.667 0.333 0.743
12 F 0.667 0.333 0.924


A plane-wave DFT calculation with PBE-GGA was carried out for an optimized crystal structure of NaLi2AgBr4.

Output
Raw total energy, eV/cell: -48.2
Density of states at the Fermi level, states/eV/f.u.: 0.00
Magnetic moment, μB per formula unit: 0.000
Mass density, g/cm3: 3.742

a b c (Å): 7.202 7.202 15.052
angles (deg): 90.00 90.00 148.14
Atoms (fractional coordinates):
1 Na 0.160 0.840 0.750
2 Na 0.840 0.160 0.250
3 Li 0.375 0.625 0.530
4 Li 0.375 0.625 0.970
5 Li 0.625 0.375 0.030
6 Li 0.625 0.375 0.470
7 Ag 0.125 0.875 0.250
8 Ag 0.875 0.125 0.750
9 Br 0.000 0.000 0.000
10 Br 0.000 0.000 0.500
11 Br 0.249 0.751 0.111
12 Br 0.249 0.751 0.389
13 Br 0.495 0.505 0.250
14 Br 0.505 0.495 0.750
15 Br 0.751 0.249 0.611
16 Br 0.751 0.249 0.889


A plane-wave DFT calculation with PBE-GGA was carried out for an optimized crystal structure of K3Ac3TmO8.

Output
Raw total energy, eV/cell: -98.7
Density of states at the Fermi level, states/eV/f.u.: 14.61
Magnetic moment, μB per formula unit: 0.888
Mass density, g/cm3: 5.854

a b c (Å): 7.701 7.701 7.701
angles (deg): 58.35 58.35 58.35
Atoms (fractional coordinates):
1 K 0.000 0.500 0.500
2 K 0.500 0.000 0.500
3 K 0.500 0.500 0.000
4 Ac 0.000 0.000 0.500
5 Ac 0.000 0.500 0.000
6 Ac 0.500 0.000 0.000
7 Tm 0.500 0.500 0.500
8 O 0.233 0.233 0.233
9 O 0.254 0.712 0.712
10 O 0.288 0.288 0.746
11 O 0.288 0.746 0.288
12 O 0.712 0.254 0.712
13 O 0.712 0.712 0.254
14 O 0.746 0.288 0.288
15 O 0.767 0.767 0.767